Entry 1:
Below is ErIrPt after structural relaxation, with properties calculated at the PBE-GGA level.

```
12
Lattice="-0.730 1.104 -5.521 5.057 -2.536 -1.176 -3.268 -6.145 -0.797" Properties=species:S:1:pos:R:3 pbc="T T T"
Pt -2.028 -3.863 -4.883
Pt 0.533 -1.255 -4.700
Pt 0.525 -6.322 -2.793
Pt 3.087 -3.715 -2.611
Er 1.317 -1.600 -1.954
Er 2.790 -3.614 -5.471
Er -1.732 -3.963 -2.023
Er -0.259 -5.977 -5.540
Ir 0.894 -4.341 -0.987
Ir 0.000 0.000 0.000
Ir -0.365 0.552 -2.760
Ir 0.529 -3.789 -3.747
```

## Properties
The calculated density is 16.0 g cm⁻³. Its space group is Pnma (62). The calculated formation energy is -855 meV/atom. Its crystal system is orthorhombic. The value obtained for the total magnetization is 0.00 Bohr magnetons per cell. Its total energy is -88.12 eV for the cell shown. The calculation puts the relative energy among the computed polymorphs at 0.082 eV/atom.

---

Entry 2:
Below is CrNi4Ge2 after structural relaxation, with properties calculated at the PBE-GGA level.

```
7
Lattice="-3.199 2.415 0.440 -2.680 0.360 -2.991 -5.273 -3.899 1.537" Properties=species:S:1:pos:R:3 pbc="T T T"
Ni -3.959 -1.986 0.590
Ni -7.194 0.862 -1.604
Ni -4.589 0.876 -1.218
Ni -6.563 -1.999 0.205
Ge -8.443 -0.958 -0.703
Ge -2.709 -0.166 -0.310
Cr 0.000 0.000 0.000
```

## Properties
The calculated density is 8.1 g cm⁻³. Its space group is R-3m (166). The calculated formation energy is -136 meV/atom. Its crystal system is trigonal. The value obtained for the total magnetization is 3.42 Bohr magnetons per cell. Its total energy is -42.93 eV for the cell shown.

---

Entry 3:
Below is RbIn4Hg6 after structural relaxation, with properties calculated at the PBE-GGA level.

```
11
Lattice="-1.682 4.183 -2.135 4.776 -1.645 -6.985 -8.070 -2.988 0.505" Properties=species:S:1:pos:R:3 pbc="T T T"
Hg -0.873 -3.122 -5.427
Hg -4.509 -1.730 -5.663
Hg -7.054 -0.613 -1.470
Hg 0.114 -1.345 -2.725
Hg -2.323 0.997 -2.045
Hg 2.241 -1.810 -5.312
In 0.000 0.000 0.000
In 0.956 1.000 -4.621
In 0.051 -0.711 -7.262
In -2.048 -0.291 -4.785
Rb -3.788 -2.540 -1.992
```

## Properties
The calculated density is 9.0 g cm⁻³. Its space group is P-6 (174). The calculated formation energy is -77 meV/atom. Its crystal system is hexagonal. The value obtained for the total magnetization is 0.00 Bohr magnetons per cell. Its total energy is -14.57 eV for the cell shown.

---

What is the formula in the second record?
CrNi4Ge2